The following is a DFT calculation (GGA+U) of K4VF6 after structural relaxation.

## Properties
volume = 391 Å³/cell
final energy = -4.84 eV/atom

Cell: 7.3153 7.3153 7.3153 Å, 90.38 90.38 89.62°
Site moments in Bohr magnetons follow the coordinates.
Sites, in units of the cell vectors:
K: 0.8866 0.2500 0.3866  0.00
K: 0.1134 0.7500 0.6133  0.00
K: 0.2500 0.2500 0.7500  0.00
K: 0.3866 0.1134 0.2500  0.00
K: 0.7500 0.7500 0.2500  0.00
K: 0.6133 0.8866 0.7500  0.00
K: 0.7500 0.3866 0.8866  0.00
K: 0.2500 0.6133 0.1134  0.00
F: 0.5709 0.4431 0.2222  0.00
F: 0.0569 0.9291 0.2778  0.00
F: 0.4431 0.7778 0.4291  0.00
F: 0.5569 0.2222 0.5709  0.00
F: 0.9291 0.7222 0.9431  0.00
F: 0.2778 0.9431 0.9291  0.00
F: 0.2222 0.4291 0.4431  0.00
F: 0.7222 0.0569 0.0709  0.00
F: 0.4291 0.5569 0.7778  0.00
F: 0.7778 0.5709 0.5569  0.00
F: 0.0709 0.2778 0.0569  0.00
F: 0.9431 0.0709 0.7222  0.00
V: 0.0000 0.0000 0.0000  2.75
V: 0.5000 0.5000 0.5000  2.75